(1)
PrGdBr2O2: relaxed, PBE-GGA.

Cell: 3.9355 3.9355 8.2706 Å, 90.00 90.00 90.00°
Last column: nearest neighbours and their distance in Å.
Element x y z (fractional)
O 0.0000 0.5000 0.0055  2 Gd 2.27, 2 Pr 2.34
Br 0.0000 0.0000 0.3397  4 Gd 3.23, 4 O 3.39
Gd 0.5000 0.5000 0.1422  4 O 2.27
O 0.5000 0.0000 0.0055  2 Gd 2.27, 2 Pr 2.34
Br 0.5000 0.5000 0.6549  4 Pr 3.23, 4 O 3.50
Pr 0.0000 0.0000 0.8523  4 O 2.34

Output
Crystal system: tetragonal
Energy, eV per atom: -6.6501
Size of the total moment, μB per formula unit: 0.00



(2)
NdAl2Ag2: relaxed, PBE-GGA.

Cell: 4.4032 4.4032 6.1957 Å, 110.81 110.81 90.00°
Last column: nearest neighbours and their distance in Å.
Element x y z (fractional)
Nd 0.0000 0.0000 0.0000  8 Al 3.36, 8 Ag 3.47
Ag 0.7500 0.2500 0.5000  4 Al 2.62
Al 0.6178 0.6178 0.2357  1 Al 2.52, 4 Ag 2.62
Ag 0.2500 0.7500 0.5000  4 Al 2.62
Al 0.3822 0.3822 0.7643  1 Al 2.52, 4 Ag 2.62

Output
Crystal system: tetragonal
Energy, eV per atom: -3.9265
Distance to the lowest polymorph of the same formula, kJ/mol of atoms: 0.0
Size of the total moment, μB per formula unit: 0.00



(3)
Cu3As: relaxed, PBE-GGA.

Cell: 7.1538 7.1538 7.3975 Å, 90.00 90.00 120.00°
Last column: nearest neighbours and their distance in Å.
Element x y z (fractional)
Cu 0.6294 0.9455 0.9191  3 As 2.47-2.63, 6 Cu 2.59-2.75
As 0.6631 0.0000 0.2500  9 Cu 2.41-2.63
Cu 0.6840 0.0545 0.5809  3 As 2.47-2.63, 6 Cu 2.59-2.75
As 0.3369 0.3369 0.2500  9 Cu 2.41-2.63
Cu 0.3333 0.6667 0.1525  3 As 2.48, 6 Cu 2.69-2.70
Cu 0.6667 0.3333 0.8475  3 As 2.48, 6 Cu 2.69-2.70
Cu 0.0000 0.0000 0.2500  3 As 2.41
Cu 0.6840 0.6294 0.0809  3 As 2.47-2.63, 6 Cu 2.59-2.75
Cu 0.0545 0.3706 0.4191  3 As 2.47-2.63, 6 Cu 2.59-2.75
Cu 0.3160 0.3706 0.9191  3 As 2.47-2.63, 6 Cu 2.59-2.75
Cu 0.3706 0.0545 0.0809  3 As 2.47-2.63, 6 Cu 2.59-2.75
As 0.0000 0.3369 0.7500  9 Cu 2.41-2.63
Cu 0.6294 0.6840 0.4191  3 As 2.47-2.63, 6 Cu 2.59-2.75
As 0.3369 0.0000 0.7500  9 Cu 2.41-2.63
Cu 0.0545 0.6840 0.9191  3 As 2.47-2.63, 6 Cu 2.59-2.75
Cu 0.9455 0.3160 0.0809  3 As 2.47-2.63, 6 Cu 2.59-2.75
Cu 0.3160 0.9455 0.4191  3 As 2.47-2.63, 6 Cu 2.59-2.75
Cu 0.3706 0.3160 0.5809  3 As 2.47-2.63, 6 Cu 2.59-2.75
Cu 0.6667 0.3333 0.3475  3 As 2.48, 6 Cu 2.69-2.70
Cu 0.0000 0.0000 0.7500  3 As 2.41
Cu 0.9455 0.6294 0.5809  3 As 2.47-2.63, 6 Cu 2.59-2.75
Cu 0.3333 0.6667 0.6525  3 As 2.48, 6 Cu 2.69-2.70
As 0.0000 0.6631 0.2500  9 Cu 2.41-2.63
As 0.6631 0.6631 0.7500  9 Cu 2.41-2.63

Output
Crystal system: trigonal
Energy, eV per atom: -3.8817



(4)
SmNiB: relaxed, PBE-GGA.

Cell: 4.3576 4.3576 4.3576 Å, 60.00 60.00 60.00°
Last column: nearest neighbours and their distance in Å.
Element x y z (fractional)
Sm 0.0000 0.0000 0.0000  4 Ni 2.67, 4 B 2.67
B 0.2500 0.2500 0.2500  4 Sm 2.67
Ni 0.7500 0.7500 0.7500  4 Sm 2.67

Output
Crystal system: cubic
Energy, eV per atom: -4.7133
Distance to the lowest polymorph of the same formula, kJ/mol of atoms: 72.9
Size of the total moment, μB per formula unit: 0.00



(5)
DyY2Er2Lu2Fe2Te2: relaxed, PBE-GGA.

Cell: 9.2663 9.2663 9.2663 Å, 155.93 65.55 120.05°
Last column: nearest neighbours and their distance in Å.
Element x y z (fractional)
Y 0.0895 0.7402 0.3493  2 Fe 2.84
Dy 0.4773 0.4773 0.0000  3 Te 3.12-3.13
Y 0.3909 0.7402 0.6507  2 Fe 2.84
Er 0.0286 0.8923 0.1363  2 Fe 2.76
Er 0.7560 0.8923 0.8637  2 Fe 2.76
Te 0.7424 0.2424 0.5000  2 Dy 3.12, 2 Lu 3.19, 4 Er 3.19
Te 0.1394 0.1394 0.0000  2 Er 3.12, 1 Dy 3.13, 4 Y 3.18
Fe 0.1729 0.4107 0.7622  2 Lu 2.73, 2 Er 2.76, 2 Y 2.84
Fe 0.6486 0.4107 0.2378  2 Lu 2.73, 2 Er 2.76, 2 Y 2.84
Lu 0.4139 0.1003 0.3136  2 Fe 2.73
Lu 0.7867 0.1003 0.6864  2 Fe 2.73

Output
Crystal system: orthorhombic
Energy, eV per atom: -5.8303
Size of the total moment, μB per formula unit: 0.70



(6)
Sc3Re2Si3: relaxed, PBE-GGA.

Cell: 5.2726 10.0576 11.0917 Å, 91.69 103.75 105.20°
Last column: nearest neighbours and their distance in Å.
Element x y z (fractional)
Sc 0.0774 0.7206 0.3977  6 Si 2.76-2.96
Si 0.0864 0.6833 0.1335  2 Re 2.51-2.58, 3 Sc 2.77-2.78
Sc 0.6661 0.7500 0.6091  5 Si 2.76-2.93, 3 Re 2.97-3.03
Si 0.7342 0.1479 0.3644  4 Re 2.40-2.59
Si 0.4869 0.6478 0.8645  4 Re 2.40-2.59
Si 0.4382 0.1832 0.6335  2 Re 2.51-2.58, 3 Sc 2.76-2.77
Sc 0.2661 0.9599 0.2276  5 Si 2.75-2.91, 2 Re 2.92-3.02
Re 0.6891 0.4968 0.0048  4 Si 2.46-2.59, 2 Re 2.64
Si 0.2582 0.5000 0.5000  2 Re 2.46, 2 Si 2.57-2.70
Si 0.7457 0.5000 0.5000  2 Re 2.44, 2 Si 2.57-2.70
Sc 0.4422 0.5402 0.2726  5 Si 2.75-2.91, 2 Re 2.92-3.02
Re 0.5207 0.9969 0.5047  4 Si 2.46-2.59, 2 Re 2.64
Sc 0.6305 0.7794 0.1024  6 Si 2.76-2.96
Si 0.2219 0.8521 0.6356  4 Re 2.40-2.59
Sc 0.0787 0.0401 0.7724  5 Si 2.75-2.91, 2 Re 2.92-3.02
Sc 0.3069 0.2500 0.3909  5 Si 2.76-2.93, 3 Re 2.97-3.03
Re 0.8574 0.3918 0.3271  4 Si 2.40-2.46
Sc 0.6294 0.4598 0.7274  5 Si 2.75-2.91, 2 Re 2.92-3.02
Re 0.1876 0.5032 0.9952  4 Si 2.46-2.59, 2 Re 2.64
Sc 0.4018 0.2497 0.1094  5 Si 2.77-2.93, 3 Re 2.97-3.03
Si 0.9746 0.3522 0.1355  4 Re 2.40-2.59
Si 0.9627 0.0000 0.0000  2 Re 2.44, 2 Si 2.57-2.70
Sc 0.7487 0.2206 0.8976  6 Si 2.76-2.96
Sc 0.9590 0.2794 0.6023  6 Si 2.76-2.96
Si 0.4502 0.0000 0.0000  2 Re 2.47, 2 Si 2.57-2.70
Sc 0.0428 0.7503 0.8906  5 Si 2.77-2.93, 3 Re 2.97-3.03
Si 0.6214 0.8168 0.3665  2 Re 2.51-2.58, 3 Sc 2.76-2.77
Si 0.2696 0.3167 0.8665  2 Re 2.51-2.58, 3 Sc 2.77-2.78
Re 0.1384 0.6082 0.6729  4 Si 2.40-2.46
Re 0.8515 0.1082 0.1729  4 Si 2.40-2.47
Re 0.5704 0.8918 0.8271  4 Si 2.40-2.47
Re 0.0191 0.0031 0.4953  4 Si 2.46-2.59, 2 Re 2.64

Output
Crystal system: monoclinic
Energy, eV per atom: -8.0805
Distance to the lowest polymorph of the same formula, kJ/mol of atoms: 0.0
Size of the total moment, μB per formula unit: 0.01



(7)
PmSm: relaxed, PBE-GGA.

Cell: 3.6486 3.6486 5.9014 Å, 90.00 90.00 120.00°
Last column: nearest neighbours and their distance in Å.
Element x y z (fractional)
Sm 0.3333 0.6667 0.2500  6 Pm 3.63, 6 Sm 3.65
Pm 0.6667 0.3333 0.7500  6 Sm 3.63, 6 Pm 3.65

Output
Crystal system: hexagonal
Energy, eV per atom: -4.7108
Distance to the lowest polymorph of the same formula, kJ/mol of atoms: 0.0
Size of the total moment, μB per formula unit: 0.01
Energy of formation from the pure elements, meV per atom: 17



(8)
Tc3Sb7: relaxed, PBE-GGA.

Cell: 8.4909 8.4909 8.4909 Å, 110.07 110.07 110.07°
Last column: nearest neighbours and their distance in Å.
Element x y z (fractional)
Sb 0.0532 0.7055 0.1367  3 Tc 2.63-2.77
Sb 0.4020 0.5536 0.1565  3 Tc 2.79-2.94
Sb 0.8132 0.8967 0.2444  3 Tc 2.63-2.77
Sb 0.1614 0.1614 0.1614  3 Tc 2.66
Sb 0.5482 0.3967 0.7935  3 Tc 2.79-2.94
Tc 0.8796 0.5124 0.7315  7 Sb 2.63-2.94
Tc 0.4377 0.2186 0.0705  7 Sb 2.63-2.94
Sb 0.2444 0.8132 0.8967  3 Tc 2.63-2.77
Sb 0.7888 0.7888 0.7888  3 Tc 2.66
Tc 0.0705 0.4377 0.2186  7 Sb 2.63-2.94
Sb 0.5536 0.1565 0.4020  3 Tc 2.79-2.94
Tc 0.5124 0.7315 0.8796  7 Sb 2.63-2.94
Sb 0.1367 0.0532 0.7055  3 Tc 2.63-2.77
Sb 0.8967 0.2444 0.8132  3 Tc 2.63-2.77
Sb 0.1565 0.4020 0.5536  3 Tc 2.79-2.94
Tc 0.2186 0.0705 0.4377  7 Sb 2.63-2.94
Sb 0.3967 0.7935 0.5482  3 Tc 2.79-2.94
Sb 0.7935 0.5482 0.3967  3 Tc 2.79-2.94
Sb 0.7055 0.1367 0.0532  3 Tc 2.63-2.77
Tc 0.7315 0.8796 0.5124  7 Sb 2.63-2.94

Output
Crystal system: trigonal
Energy, eV per atom: -5.8676
Size of the total moment, μB per formula unit: 0.01



(9)
InBMo: relaxed, PBE-GGA.

Cell: 3.9798 3.9798 3.9798 Å, 60.00 60.00 60.00°
Last column: nearest neighbours and their distance in Å.
Element x y z (fractional)
In 0.2500 0.2500 0.2500  4 B 2.44
B 0.0000 0.0000 0.0000  4 Mo 2.44, 4 In 2.44
Mo 0.7500 0.7500 0.7500  4 B 2.44

Output
Crystal system: cubic
Energy, eV per atom: -6.0702
Size of the total moment, μB per formula unit: 0.01



(10)
CoNiSb: relaxed, PBE-GGA.

Cell: 4.2291 4.2291 5.3477 Å, 90.00 90.00 120.00°
Last column: nearest neighbours and their distance in Å.
Element x y z (fractional)
Ni 0.3333 0.6667 0.0006  5 Sb 2.44-2.68
Ni 0.6667 0.3333 0.5006  5 Sb 2.44-2.68
Sb 0.3333 0.6667 0.4991  5 Ni 2.44-2.68
Co 0.0000 0.0000 0.7503  2 Co 2.67, 6 Sb 2.78-2.79, 6 Ni 2.78
Co 0.0000 0.0000 0.2503  2 Co 2.67, 6 Sb 2.78-2.79, 6 Ni 2.78
Sb 0.6667 0.3333 0.9991  5 Ni 2.44-2.68

Output
Crystal system: hexagonal
Energy, eV per atom: -5.5718
Size of the total moment, μB per formula unit: 0.66



(11)
Lu4SiC2S: relaxed, PBE-GGA.

Cell: 3.5468 3.5468 13.4993 Å, 90.00 90.00 120.00°
Last column: nearest neighbours and their distance in Å.
Element x y z (fractional)
C 0.3333 0.6667 0.2654  6 Lu 2.42-2.43
Lu 0.0000 0.0000 0.3621  3 C 2.43
Lu 0.6667 0.3333 0.1697  3 C 2.42
S 0.6667 0.3333 0.5000  6 Lu 2.77
C 0.3333 0.6667 0.7346  6 Lu 2.42-2.43
Lu 0.0000 0.0000 0.6379  3 C 2.43
Si 0.0000 0.0000 0.0000  6 Lu 3.07
Lu 0.6667 0.3333 0.8303  3 C 2.42

Output
Crystal system: hexagonal
Energy, eV per atom: -6.6333
Size of the total moment, μB per formula unit: 0.01



(12)
LiPmCo: relaxed, PBE-GGA.

Cell: 4.4678 4.4678 4.4678 Å, 60.00 60.00 60.00°
Last column: nearest neighbours and their distance in Å.
Element x y z (fractional)
Pm 0.0000 0.0000 0.0000  4 Li 2.74, 4 Co 2.74
Co 0.2500 0.2500 0.2500  4 Pm 2.74
Li 0.7500 0.7500 0.7500  4 Pm 2.74

Output
Crystal system: cubic
Energy, eV per atom: -3.8408
Distance to the lowest polymorph of the same formula, kJ/mol of atoms: 25.7
Size of the total moment, μB per formula unit: 0.45